## Cd3In2Sn (PBE)

Data for a geometry-optimized Cd3In2Sn structure.

```
data_Cd3In2Sn
_symmetry_space_group_name_H-M 'C 1 2/c 1'
_symmetry_Int_Tables_number 15
_cell_length_a 9.111
_cell_length_b 10.797
_cell_length_c 6.249
_cell_angle_alpha 90.00
_cell_angle_beta 90.08
_cell_angle_gamma 90.00
loop_
_symmetry_equiv_pos_as_xyz
'x,y,z'
'-x,-y,-z'
'-x,y,-z+1/2'
'x,-y,z+1/2'
'x+1/2,y+1/2,z'
'-x+1/2,-y+1/2,-z'
'-x+1/2,y+1/2,-z+1/2'
'x+1/2,-y+1/2,z+1/2'
loop_
_atom_site_label
_atom_site_type_symbol
_atom_site_fract_x
_atom_site_fract_y
_atom_site_fract_z
_atom_site_occupancy
Cd1 Cd 0.000 0.190 0.250 1
Cd2 Cd 0.186 0.000 0.000 1
In1 In 0.169 0.255 0.751 1
Sn1 Sn 0.000 0.465 0.250 1
```

Computed properties:
As for the total energy: -1.995 eV per atom. The value obtained for the formation energy is 0.042 eV per atom.